Entry from Alexandria via LeMat-Bulk: a relaxed structure of HfTe2PdI (GGA-PBE).

Lattice parameters (Å, degrees): 5.535 5.535 5.689 90.00 90.00 90.00
Fractional positions:
Hf 0.000 0.000 0.000
Te 0.000 0.500 0.000
Te 0.500 0.000 0.000
Pd 0.500 0.500 0.500
I 0.000 0.000 0.500

## Properties
Crystal system = tetragonal
Magnetic moment = 0.270 μB/cell
Calculated total energy = -4.403 eV/atom
ΔE to the lowest computed polymorph = 0 meV/atom



Entry from Alexandria via LeMat-Bulk: a relaxed structure of HfTe2PdI (GGA-PBE).

Lattice parameters (Å, degrees): 5.280 5.280 5.224 90.00 90.00 90.00
Fractional positions:
Hf 0.000 0.000 0.000
Te 0.000 0.500 0.500
Te 0.500 0.000 0.500
Pd 0.500 0.500 0.500
I 0.500 0.500 0.000

## Properties
Crystal system = tetragonal
Magnetic moment = 0.562 μB/cell
Calculated total energy = -4.138 eV/atom
ΔE to the lowest computed polymorph = 266 meV/atom



Entry from Alexandria via LeMat-Bulk: a relaxed structure of HfTePdI2 (GGA-PBE).

Lattice parameters (Å, degrees): 5.280 5.280 5.421 90.00 90.00 90.00
Fractional positions:
Hf 0.000 0.000 0.000
Te 0.500 0.500 0.000
Pd 0.500 0.500 0.500
I 0.000 0.500 0.500
I 0.500 0.000 0.500

## Properties
Crystal system = tetragonal
Magnetic moment = 1.045 μB/cell
Calculated total energy = -3.779 eV/atom
ΔE to the lowest computed polymorph = 348 meV/atom



Entry from Alexandria via LeMat-Bulk: a relaxed structure of Pr2HfI (GGA-PBE).

Lattice parameters (Å, degrees): 11.681 11.681 11.681 17.57 17.57 17.57
Fractional positions:
Pr 0.091 0.091 0.091
Pr 0.909 0.909 0.909
Hf 0.000 0.000 0.000
I 0.500 0.500 0.500

## Properties
Crystal system = trigonal
Magnetic moment = 1.198 μB/cell
Calculated total energy = -5.127 eV/atom



Entry from Alexandria via LeMat-Bulk: a relaxed structure of HfPtI3 (GGA-PBE).

Lattice parameters (Å, degrees): 5.411 5.411 5.411 90.00 90.00 90.00
Fractional positions:
Hf 0.000 0.000 0.000
Pt 0.500 0.500 0.500
I 0.000 0.500 0.500
I 0.500 0.000 0.500
I 0.500 0.500 0.000

## Properties
Crystal system = cubic
Magnetic moment = 1.332 μB/cell
Calculated total energy = -3.496 eV/atom
ΔE to the lowest computed polymorph = 138 meV/atom



Entry from Alexandria via LeMat-Bulk: a relaxed structure of HfPt2I2 (GGA-PBE).

Lattice parameters (Å, degrees): 7.685 7.685 3.709 90.00 90.00 90.00
Fractional positions:
Hf 0.000 0.000 0.000
Hf 0.500 0.500 0.000
Pt 0.141 0.359 0.500
Pt 0.359 0.859 0.500
Pt 0.641 0.141 0.500
Pt 0.859 0.641 0.500
I 0.169 0.669 0.000
I 0.331 0.169 0.000
I 0.669 0.831 0.000
I 0.831 0.331 0.000

## Properties
Crystal system = tetragonal
Magnetic moment = 0.000 μB/cell
Calculated total energy = -4.573 eV/atom
ΔE to the lowest computed polymorph = 248 meV/atom



Entry from Alexandria via LeMat-Bulk: a relaxed structure of HfPtI3 (GGA-PBE).

Lattice parameters (Å, degrees): 5.600 5.600 5.600 90.00 90.00 90.00
Fractional positions:
Hf 0.000 0.000 0.000
Pt 0.500 0.500 0.500
I 0.000 0.000 0.500
I 0.000 0.500 0.000
I 0.500 0.000 0.000

## Properties
Crystal system = cubic
Magnetic moment = 1.275 μB/cell
Calculated total energy = -3.634 eV/atom
ΔE to the lowest computed polymorph = 0 meV/atom



Entry from Alexandria via LeMat-Bulk: a relaxed structure of Hf2PtI (GGA-PBE).

Lattice parameters (Å, degrees): 7.997 7.997 7.997 135.56 135.56 64.66
Fractional positions:
Hf 0.063 0.625 0.938
Hf 0.375 0.313 0.438
Hf 0.687 0.125 0.062
Hf 0.875 0.937 0.562
Pt 0.000 0.000 0.000
Pt 0.750 0.250 0.500
I 0.250 0.750 0.500
I 0.500 0.500 0.000

## Properties
Crystal system = tetragonal
Magnetic moment = 0.000 μB/cell
Calculated total energy = -6.747 eV/atom
ΔE to the lowest computed polymorph = 303 meV/atom



Entry from Alexandria via LeMat-Bulk: a relaxed structure of Hf2PtI (GGA-PBE).

Lattice parameters (Å, degrees): 4.880 4.880 4.880 60.00 60.00 60.00
Fractional positions:
Hf 0.250 0.250 0.250
Hf 0.750 0.750 0.750
Pt 0.000 0.000 0.000
I 0.500 0.500 0.500

## Properties
Crystal system = cubic
Magnetic moment = 0.000 μB/cell
Calculated total energy = -7.050 eV/atom
ΔE to the lowest computed polymorph = 0 meV/atom



Entry from Alexandria via LeMat-Bulk: a relaxed structure of HfPt2I2 (GGA-PBE).

Lattice parameters (Å, degrees): 10.719 10.719 10.719 160.83 160.83 27.25
Fractional positions:
Hf 0.000 0.000 0.000
Pt 0.250 0.750 0.500
Pt 0.750 0.250 0.500
I 0.415 0.415 0.000
I 0.585 0.585 0.000

## Properties
Crystal system = tetragonal
Magnetic moment = 0.000 μB/cell
Calculated total energy = -4.821 eV/atom
ΔE to the lowest computed polymorph = 0 meV/atom



Entry from Alexandria via LeMat-Bulk: a relaxed structure of Hf2PtI2 (GGA-PBE).

Lattice parameters (Å, degrees): 7.205 7.205 5.075 90.00 90.00 90.00
Fractional positions:
Hf 0.177 0.323 0.000
Hf 0.323 0.823 0.000
Hf 0.677 0.177 0.000
Hf 0.823 0.677 0.000
Pt 0.000 0.000 0.000
Pt 0.500 0.500 0.000
I 0.177 0.677 0.500
I 0.323 0.177 0.500
I 0.677 0.823 0.500
I 0.823 0.323 0.500

## Properties
Crystal system = tetragonal
Magnetic moment = 0.000 μB/cell
Calculated total energy = -5.860 eV/atom
ΔE to the lowest computed polymorph = 0 meV/atom



Entry from Alexandria via LeMat-Bulk: a relaxed structure of Hf2PtI2 (GGA-PBE).

Lattice parameters (Å, degrees): 7.232 7.232 7.232 143.56 143.56 52.48
Fractional positions:
Hf 0.105 0.105 0.000
Hf 0.895 0.895 0.000
Pt 0.500 0.500 0.000
I 0.250 0.750 0.500
I 0.750 0.250 0.500

## Properties
Crystal system = tetragonal
Magnetic moment = 0.886 μB/cell
Calculated total energy = -5.281 eV/atom
ΔE to the lowest computed polymorph = 579 meV/atom



| no. | E_form (uncorrected) (eV/atom) | ρ (Mg/m³) |
| --- | --- | --- |
| 1 | 0.19 | 6.4 |
| 2 | 0.46 | 7.6 |
| 3 | 0.50 | 7.3 |
| 4 | 0.14 | 7.7 |
| 5 | 0.63 | 7.9 |
| 6 | 0.45 | 12.5 |
| 7 | 0.49 | 7.1 |
| 8 | 0.13 | 9.1 |
| 9 | -0.18 | 13.7 |
| 10 | 0.21 | 10.3 |
| 11 | -0.05 | 10.2 |
| 12 | 0.53 | 10.1 |